Record 1
BaMgAsIr after structural relaxation, computed with PBE.

Cell lengths 5.099, 5.099, 5.099 Å; angles 60.00, 60.00, 60.00 degrees
Fractional positions:
Ba: 0.000 0.000 0.000
Mg: 0.500 0.500 0.500
As: 0.750 0.750 0.750
Ir: 0.250 0.250 0.250

Properties
symmetry = F-43m (216)
uncorrected energy = -4.1510 eV per atom

Record 2
DyPOsO after structural relaxation, computed with PBE.

Cell lengths 3.994, 3.994, 7.856 Å; angles 90.00, 90.00, 90.00 degrees
Fractional positions:
Dy: 0.250 0.250 0.135
Dy: 0.750 0.750 0.865
P: 0.250 0.250 0.657
P: 0.750 0.750 0.343
Os: 0.250 0.750 0.500
Os: 0.750 0.250 0.500
O: 0.250 0.750 0.000
O: 0.750 0.250 0.000

Properties
symmetry = P4/nmm (129)
uncorrected energy = -8.4343 eV per atom

Record 3
Li2Nd2Ni15 after structural relaxation, computed with PBE.

Cell lengths 6.301, 6.301, 6.301 Å; angles 83.45, 83.45, 83.45 degrees
Fractional positions:
Li: 0.093 0.093 0.093
Li: 0.907 0.907 0.907
Nd: 0.342 0.342 0.342
Nd: 0.658 0.658 0.658
Ni: 0.000 0.000 0.500
Ni: 0.000 0.300 0.700
Ni: 0.000 0.500 0.000
Ni: 0.000 0.700 0.300
Ni: 0.157 0.658 0.658
Ni: 0.300 0.000 0.700
Ni: 0.300 0.700 0.000
Ni: 0.342 0.342 0.843
Ni: 0.342 0.843 0.342
Ni: 0.500 0.000 0.000
Ni: 0.658 0.157 0.658
Ni: 0.658 0.658 0.157
Ni: 0.700 0.000 0.300
Ni: 0.700 0.300 0.000
Ni: 0.843 0.342 0.342

Properties
symmetry = R-3m (166)
uncorrected energy = -5.3011 eV per atom

Record 4
NaZrPa after structural relaxation, computed with PBE.

Cell lengths 4.895, 4.895, 4.895 Å; angles 60.00, 60.00, 60.00 degrees
Fractional positions:
Na: 0.000 0.000 0.000
Zr: 0.250 0.250 0.250
Pa: 0.500 0.500 0.500

Properties
symmetry = F-43m (216)
uncorrected energy = -5.0269 eV per atom

Record 5
TaBeAlCu after structural relaxation, computed with PBE.

Cell lengths 4.255, 4.255, 4.255 Å; angles 60.00, 60.00, 60.00 degrees
Fractional positions:
Ta: 0.000 0.000 0.000
Be: 0.750 0.750 0.750
Al: 0.250 0.250 0.250
Cu: 0.500 0.500 0.500

Properties
symmetry = F-43m (216)
uncorrected energy = -5.5467 eV per atom

Record 6
HfFeNiPb after structural relaxation, computed with PBE.

Cell lengths 4.586, 4.586, 4.586 Å; angles 60.00, 60.00, 60.00 degrees
Fractional positions:
Hf: 0.000 0.000 0.000
Fe: 0.750 0.750 0.750
Ni: 0.500 0.500 0.500
Pb: 0.250 0.250 0.250

Properties
symmetry = F-43m (216)
uncorrected energy = -6.5992 eV per atom

Record 7
AcYSc after structural relaxation, computed with PBE.

Cell lengths 5.469, 5.469, 5.469 Å; angles 60.00, 60.00, 60.00 degrees
Fractional positions:
Ac: 0.000 0.000 0.000
Y: 0.500 0.500 0.500
Sc: 0.250 0.250 0.250

Properties
symmetry = F-43m (216)
uncorrected energy = -4.9783 eV per atom

Record 8
TmMgNO after structural relaxation, computed with PBE.

Cell lengths 6.104, 6.848, 5.652 Å; angles 90.00, 90.00, 90.00 degrees
Fractional positions:
Tm: 0.079 0.142 0.000
Tm: 0.421 0.142 0.500
Tm: 0.579 0.858 0.000
Tm: 0.921 0.858 0.500
Mg: 0.097 0.606 0.011
Mg: 0.403 0.606 0.511
Mg: 0.597 0.394 0.011
Mg: 0.903 0.394 0.511
N: 0.089 0.625 0.645
N: 0.411 0.625 0.145
N: 0.589 0.375 0.645
N: 0.911 0.375 0.145
O: 0.080 0.127 0.614
O: 0.420 0.127 0.114
O: 0.580 0.873 0.614
O: 0.920 0.873 0.114

Properties
symmetry = Pca2_1 (29)
uncorrected energy = -6.7398 eV per atom

Record 9
HoAs2 after structural relaxation, computed with PBE.

Cell lengths 5.685, 5.685, 5.685 Å; angles 60.00, 60.00, 60.00 degrees
Fractional positions:
Ho: 0.125 0.125 0.125
Ho: 0.875 0.875 0.875
As: 0.000 0.500 0.500
As: 0.500 0.000 0.500
As: 0.500 0.500 0.000
As: 0.500 0.500 0.500

Properties
symmetry = Fd-3m (227)
uncorrected energy = -4.9215 eV per atom

Record 10
RbAsOsO after structural relaxation, computed with PBE.

Cell lengths 3.804, 3.804, 9.515 Å; angles 90.00, 90.00, 90.00 degrees
Fractional positions:
Rb: 0.250 0.750 0.000
Rb: 0.750 0.250 0.000
As: 0.250 0.250 0.274
As: 0.750 0.750 0.726
Os: 0.250 0.250 0.626
Os: 0.750 0.750 0.374
O: 0.250 0.750 0.500
O: 0.750 0.250 0.500

Properties
symmetry = P4/nmm (129)
uncorrected energy = -4.6818 eV per atom

Record 11
LiTaAgS3 after structural relaxation, computed with PBE.

Cell lengths 7.168, 7.168, 9.647 Å; angles 90.00, 90.00, 152.00 degrees
Fractional positions:
Li: 0.138 0.862 0.750
Li: 0.862 0.138 0.250
Ta: 0.500 0.500 0.000
Ta: 0.500 0.500 0.500
Ag: 0.185 0.815 0.250
Ag: 0.815 0.185 0.750
S: 0.130 0.870 0.012
S: 0.130 0.870 0.488
S: 0.482 0.518 0.250
S: 0.518 0.482 0.750
S: 0.870 0.130 0.512
S: 0.870 0.130 0.988

Properties
symmetry = Cmcm (63)
uncorrected energy = -5.5013 eV per atom

Record 12
Mg3Pd2S3 after structural relaxation, computed with PBE.

Cell lengths 3.768, 3.663, 10.975 Å; angles 90.00, 99.85, 90.00 degrees
Fractional positions:
Mg: 0.000 0.000 0.000
Mg: 0.385 0.500 0.766
Mg: 0.615 0.500 0.234
Pd: 0.202 0.500 0.406
Pd: 0.798 0.500 0.594
S: 0.121 0.000 0.247
S: 0.500 0.500 0.000
S: 0.879 0.000 0.753

Properties
symmetry = P2/m (10)
uncorrected energy = -4.1611 eV per atom

Record 13
BaSmPO after structural relaxation, computed with PBE.

Cell lengths 5.042, 5.042, 9.321 Å; angles 90.00, 90.00, 90.00 degrees
Fractional positions:
Ba: 0.250 0.250 0.086
Ba: 0.750 0.750 0.914
Sm: 0.250 0.750 0.500
Sm: 0.750 0.250 0.500
P: 0.250 0.250 0.625
P: 0.750 0.750 0.375
O: 0.250 0.750 0.000
O: 0.750 0.250 0.000

Properties
symmetry = P4/nmm (129)
uncorrected energy = -5.7354 eV per atom

Record 14
RbFeHg after structural relaxation, computed with PBE.

Cell lengths 5.195, 5.195, 5.195 Å; angles 60.00, 60.00, 60.00 degrees
Fractional positions:
Rb: 0.000 0.000 0.000
Fe: 0.750 0.750 0.750
Hg: 0.500 0.500 0.500

Properties
symmetry = F-43m (216)
uncorrected energy = -2.3303 eV per atom

Record 15
ErNi after structural relaxation, computed with PBE.

Cell lengths 6.977, 4.138, 5.371 Å; angles 90.00, 90.00, 90.00 degrees
Fractional positions:
Er: 0.180 0.250 0.131
Er: 0.320 0.750 0.631
Er: 0.680 0.250 0.369
Er: 0.820 0.750 0.869
Ni: 0.038 0.250 0.626
Ni: 0.462 0.750 0.126
Ni: 0.538 0.250 0.874
Ni: 0.962 0.750 0.374

Properties
symmetry = Pnma (62)
uncorrected energy = -5.5586 eV per atom

Record 16
KSmO3 after structural relaxation, computed with PBE.

Cell lengths 5.869, 5.869, 5.869 Å; angles 68.15, 68.15, 68.15 degrees
Fractional positions:
K: 0.000 0.000 0.000
K: 0.500 0.500 0.500
Sm: 0.250 0.250 0.250
Sm: 0.750 0.750 0.750
O: 0.084 0.750 0.416
O: 0.250 0.584 0.916
O: 0.416 0.084 0.750
O: 0.584 0.916 0.250
O: 0.750 0.416 0.084
O: 0.916 0.250 0.584

Properties
symmetry = R-3c (167)
uncorrected energy = -5.5073 eV per atom

Record 17
Nb4NiSN2 after structural relaxation, computed with PBE.

Cell lengths 3.220, 3.220, 12.044 Å; angles 90.00, 90.00, 120.00 degrees
Fractional positions:
Nb: 0.000 0.000 0.150
Nb: 0.000 0.000 0.850
Nb: 0.667 0.333 0.342
Nb: 0.667 0.333 0.658
Ni: 0.000 0.000 0.500
S: 0.667 0.333 0.000
N: 0.333 0.667 0.251
N: 0.333 0.667 0.749

Properties
symmetry = P-6m2 (187)
uncorrected energy = -8.9858 eV per atom

Record 18
DyYBrNCl2 after structural relaxation, computed with PBE.

Cell lengths 8.513, 8.513, 10.903 Å; angles 120.38, 120.38, 26.20 degrees
Fractional positions:
Dy: 0.083 0.083 0.455
Dy: 0.917 0.917 0.545
Y: 0.365 0.365 0.214
Y: 0.635 0.635 0.786
Br: 0.160 0.160 0.018
Br: 0.840 0.840 0.982
N: 0.075 0.075 0.654
N: 0.925 0.925 0.346
Cl: 0.284 0.284 0.392
Cl: 0.453 0.453 0.745
Cl: 0.547 0.547 0.255
Cl: 0.716 0.716 0.608

Properties
symmetry = C2/m (12)
uncorrected energy = -6.1596 eV per atom

Record 19
Na2TaZnH6 after structural relaxation, computed with PBE.

Cell lengths 5.298, 5.297, 9.181 Å; angles 90.00, 125.25, 90.00 degrees
Fractional positions:
Na: 0.250 0.007 0.250
Na: 0.250 0.493 0.750
Na: 0.750 0.507 0.250
Na: 0.750 0.993 0.750
Ta: 0.000 0.000 0.500
Ta: 0.000 0.500 0.000
Zn: 0.500 0.000 0.000
Zn: 0.500 0.500 0.500
H: 0.208 0.009 0.755
H: 0.208 0.491 0.255
H: 0.254 0.721 0.523
H: 0.254 0.779 0.023
H: 0.305 0.231 0.525
H: 0.305 0.269 0.025
H: 0.695 0.731 0.975
H: 0.695 0.769 0.475
H: 0.746 0.221 0.977
H: 0.746 0.279 0.477
H: 0.792 0.509 0.745
H: 0.792 0.991 0.245

Properties
symmetry = P2_1/c (14)
uncorrected energy = -3.4707 eV per atom

Record 20
Nb4AlSiC2 after structural relaxation, computed with PBE.

Cell lengths 3.174, 3.174, 13.210 Å; angles 90.00, 90.00, 120.00 degrees
Fractional positions:
Nb: 0.000 0.000 0.147
Nb: 0.000 0.000 0.853
Nb: 0.333 0.667 0.333
Nb: 0.333 0.667 0.667
Al: 0.000 0.000 0.500
Si: 0.333 0.667 0.000
C: 0.667 0.333 0.242
C: 0.667 0.333 0.758

Properties
symmetry = P-6m2 (187)
uncorrected energy = -9.0197 eV per atom

Record 21
MgNbFeAs after structural relaxation, computed with PBE.

Cell lengths 4.438, 4.438, 4.438 Å; angles 60.00, 60.00, 60.00 degrees
Fractional positions:
Mg: 0.000 0.000 0.000
Nb: 0.750 0.750 0.750
Fe: 0.500 0.500 0.500
As: 0.250 0.250 0.250

Properties
symmetry = F-43m (216)
uncorrected energy = -5.8450 eV per atom

Record 22
NaLuNbIr after structural relaxation, computed with PBE.

Cell lengths 4.793, 4.793, 4.793 Å; angles 60.00, 60.00, 60.00 degrees
Fractional positions:
Na: 0.000 0.000 0.000
Lu: 0.500 0.500 0.500
Nb: 0.250 0.250 0.250
Ir: 0.750 0.750 0.750

Properties
symmetry = F-43m (216)
uncorrected energy = -5.6933 eV per atom

Record 23
SrTa2Au after structural relaxation, computed with PBE.

Cell lengths 4.921, 4.921, 4.921 Å; angles 60.00, 60.00, 60.00 degrees
Fractional positions:
Sr: 0.000 0.000 0.000
Ta: 0.500 0.500 0.500
Ta: 0.750 0.750 0.750
Au: 0.250 0.250 0.250

Properties
symmetry = F-43m (216)
uncorrected energy = -6.5071 eV per atom

Record 24
MgGaFe2 after structural relaxation, computed with PBE.

Cell lengths 4.246, 4.246, 4.246 Å; angles 60.00, 60.00, 60.00 degrees
Fractional positions:
Mg: 0.000 0.000 0.000
Ga: 0.750 0.750 0.750
Fe: 0.250 0.250 0.250
Fe: 0.500 0.500 0.500

Properties
symmetry = F-43m (216)
uncorrected energy = -5.2602 eV per atom

Record 25
TbScHg after structural relaxation, computed with PBE.

Cell lengths 4.952, 4.952, 4.952 Å; angles 60.00, 60.00, 60.00 degrees
Fractional positions:
Tb: 0.000 0.000 0.000
Sc: 0.500 0.500 0.500
Hg: 0.750 0.750 0.750

Properties
symmetry = F-43m (216)
uncorrected energy = -3.8364 eV per atom